(1)
Material: Ba2SmOsN6
Method: DFT, PBE
State: relaxed

extended XYZ file:
```
10
Lattice="5.276 -3.044 0.000 5.276 3.044 0.000 -3.521 0.000 4.975" Properties=species:S:1:pos:R:3 pbc="T T T"
Ba 1.763 0.000 1.242
Ba 5.267 0.000 3.733
Sm -1.761 0.000 2.488
Os 5.276 0.000 0.000
N 2.527 1.374 3.836
N 0.142 0.000 3.884
N 4.503 1.374 1.139
N 2.527 -1.374 3.836
N 6.888 0.000 1.091
N 4.503 -1.374 1.139
```

As for the energy above the most stable polymorph in this dataset: 0 meV/atom.

---

(2)
Material: NdIn2S4
Method: DFT, PBE
State: relaxed

extended XYZ file:
```
14
Lattice="3.398 -4.896 0.000 3.398 4.896 0.000 0.000 0.000 10.228" Properties=species:S:1:pos:R:3 pbc="T T T"
Nd 0.000 0.000 2.557
Nd 0.000 0.000 7.671
In 3.308 1.952 0.000
In 3.488 1.952 5.114
In 3.308 -1.952 5.114
In 3.488 -1.952 0.000
S 1.699 2.448 1.987
S 1.699 2.448 8.241
S 1.353 0.591 5.114
S 1.353 -0.591 0.000
S 1.699 -2.448 3.127
S 1.699 -2.448 7.101
S 5.443 0.591 0.000
S 5.443 -0.591 5.114
```

Its energy is -4.77 eV/atom.

---

- Which formula does entry 2 have?
  NdIn2S4